Computed, not measured: crystalline ScPaCo2Si2 at its relaxed geometry at the GGA-PBE level of DFT.

Structure (POSCAR):
```
ScPaCo2Si2
1.0
4.065 0.000 0.000
-2.032 3.520 0.000
0.000 0.000 6.711
Sc Pa Co Si
1 1 2 2
Direct
0.000 0.000 0.000
0.000 0.000 0.500
0.333 0.667 0.230
0.667 0.333 0.770
0.333 0.667 0.781
0.667 0.333 0.219
```

Calculated values
Formation energy (no corrections) = -0.71 eV per atom
Total magnetic moment = 0.00 μB/atom
Total energy = -7.5217 eV per atom